# 1
A geometry-optimized CaHg2Mo structure. Source: Alexandria, functional PBEsol.

```
data_CaHg2Mo
_symmetry_space_group_name_H-M 'P 4/m m m'
_symmetry_Int_Tables_number 123
_symmetry_space_group_name_Hall '-P 4 2'
_cell_length_a 3.040
_cell_length_b 3.040
_cell_length_c 8.641
_cell_angle_alpha 90.00
_cell_angle_beta 90.00
_cell_angle_gamma 90.00
loop_
_atom_site_label
_atom_site_type_symbol
_atom_site_fract_x
_atom_site_fract_y
_atom_site_fract_z
Ca1 Ca 0.000 0.000 0.000
Hg1 Hg 0.500 0.500 0.268
Mo1 Mo 0.000 0.000 0.500
```

For the mass density, the calculation gives 11.17 Mg/m³. The value obtained for the distance to the lowest polymorph of the same formula is 0.000 eV/atom. The value obtained for the formation energy is 0.775 eV per formula unit.

---

# 2
A geometry-optimized CaHg2Mo structure. Source: Alexandria, functional PBEsol.

```
data_CaHg2Mo
_symmetry_space_group_name_H-M 'F -4 3 m'
_symmetry_Int_Tables_number 216
_symmetry_space_group_name_Hall 'F -4 2 3'
_cell_length_a 6.994
_cell_length_b 6.994
_cell_length_c 6.994
_cell_angle_alpha 90.00
_cell_angle_beta 90.00
_cell_angle_gamma 90.00
loop_
_atom_site_label
_atom_site_type_symbol
_atom_site_fract_x
_atom_site_fract_y
_atom_site_fract_z
Ca1 Ca 0.000 0.000 0.000
Hg1 Hg 0.000 0.000 0.500
Hg2 Hg 0.250 0.250 0.250
Mo1 Mo 0.250 0.250 0.750
```

For the mass density, the calculation gives 10.43 Mg/m³. The value obtained for the distance to the lowest polymorph of the same formula is 0.321 eV/atom. The value obtained for the formation energy is 2.058 eV per formula unit.

---

# 3
A geometry-optimized Ca2HgMo structure. Source: Alexandria, functional PBEsol.

```
data_Ca2HgMo
_symmetry_space_group_name_H-M 'R -3 m'
_symmetry_Int_Tables_number 166
_symmetry_space_group_name_Hall '-R 3 2"'
_cell_length_a 3.2237
_cell_length_b 3.2237
_cell_length_c 30.7422
_cell_angle_alpha 90.00
_cell_angle_beta 90.00
_cell_angle_gamma 120.00
loop_
_atom_site_label
_atom_site_type_symbol
_atom_site_fract_x
_atom_site_fract_y
_atom_site_fract_z
Ca1 Ca 0.0000 0.0000 0.2459
Hg1 Hg 0.0000 0.0000 0.0000
Mo1 Mo 0.0000 0.0000 0.5000
```

For the mass density, the calculation gives 6.78 Mg/m³. The value obtained for the formation energy is 1.945 eV per formula unit.

---

# 4
A geometry-optimized CaHg4Mo structure. Source: Alexandria, functional PBEsol.

```
data_CaHg4Mo
_symmetry_space_group_name_H-M 'F -4 3 m'
_symmetry_Int_Tables_number 216
_symmetry_space_group_name_Hall 'F -4 2 3'
_cell_length_a 8.073
_cell_length_b 8.073
_cell_length_c 8.073
_cell_angle_alpha 90.00
_cell_angle_beta 90.00
_cell_angle_gamma 90.00
loop_
_atom_site_label
_atom_site_type_symbol
_atom_site_fract_x
_atom_site_fract_y
_atom_site_fract_z
Ca1 Ca 0.000 0.000 0.000
Hg1 Hg 0.125 0.125 0.375
Mo1 Mo 0.250 0.250 0.750
```

For the mass density, the calculation gives 11.84 Mg/m³. The value obtained for the formation energy is 1.854 eV per formula unit.

---

# 5
A geometry-optimized CaHg2Mo structure. Source: Alexandria, functional PBEsol.

```
data_CaHg2Mo
_symmetry_space_group_name_H-M 'P m m 2'
_symmetry_Int_Tables_number 25
_symmetry_space_group_name_Hall 'P 2 -2'
_cell_length_a 3.177
_cell_length_b 5.009
_cell_length_c 5.009
_cell_angle_alpha 90.00
_cell_angle_beta 90.00
_cell_angle_gamma 90.00
loop_
_atom_site_label
_atom_site_type_symbol
_atom_site_fract_x
_atom_site_fract_y
_atom_site_fract_z
Ca1 Ca 0.000 0.000 0.000
Hg1 Hg 0.500 0.000 0.501
Hg2 Hg 0.500 0.500 0.005
Mo1 Mo 0.000 0.500 0.504
```

For the mass density, the calculation gives 11.19 Mg/m³. The value obtained for the distance to the lowest polymorph of the same formula is 0.017 eV/atom. The value obtained for the formation energy is 0.844 eV per formula unit.

---

# 6
A geometry-optimized CaReHgMo2 structure. Source: Alexandria, functional PBEsol.

```
data_CaReHgMo2
_symmetry_space_group_name_H-M 'P 4/m m m'
_symmetry_Int_Tables_number 123
_symmetry_space_group_name_Hall '-P 4 2'
_cell_length_a 4.447
_cell_length_b 4.447
_cell_length_c 4.922
_cell_angle_alpha 90.00
_cell_angle_beta 90.00
_cell_angle_gamma 90.00
loop_
_atom_site_label
_atom_site_type_symbol
_atom_site_fract_x
_atom_site_fract_y
_atom_site_fract_z
Ca1 Ca 0.000 0.000 0.000
Re1 Re 0.500 0.500 0.500
Hg1 Hg 0.000 0.000 0.500
Mo1 Mo 0.000 0.500 0.000
```

For the mass density, the calculation gives 10.56 Mg/m³. The value obtained for the formation energy is 14.380 eV per formula unit.

---

# 7
A geometry-optimized CaHg3N structure. Source: Alexandria, functional PBEsol.

```
data_CaHg3N
_symmetry_space_group_name_H-M 'P m -3 m'
_symmetry_Int_Tables_number 221
_symmetry_space_group_name_Hall '-P 4 2 3'
_cell_length_a 4.788
_cell_length_b 4.788
_cell_length_c 4.788
_cell_angle_alpha 90.00
_cell_angle_beta 90.00
_cell_angle_gamma 90.00
loop_
_atom_site_label
_atom_site_type_symbol
_atom_site_fract_x
_atom_site_fract_y
_atom_site_fract_z
Ca1 Ca 0.000 0.000 0.000
Hg1 Hg 0.000 0.500 0.500
N1 N 0.500 0.500 0.500
```

Its uncorrected formation energy is 0.46 eV/atom. For the mass density, the calculation gives 9.92 Mg/m³.

---

# 8
A geometry-optimized Ca2HgOsN structure. Source: Alexandria, functional PBEsol.

```
data_Ca2HgOsN
_symmetry_space_group_name_H-M 'P 4/m m m'
_symmetry_Int_Tables_number 123
_symmetry_space_group_name_Hall '-P 4 2'
_cell_length_a 5.618
_cell_length_b 5.618
_cell_length_c 3.741
_cell_angle_alpha 90.00
_cell_angle_beta 90.00
_cell_angle_gamma 90.00
loop_
_atom_site_label
_atom_site_type_symbol
_atom_site_fract_x
_atom_site_fract_y
_atom_site_fract_z
Ca1 Ca 0.000 0.500 0.000
Hg1 Hg 0.000 0.000 0.500
Os1 Os 0.500 0.500 0.000
N1 N 0.500 0.500 0.500
```

Its uncorrected formation energy is -0.04 eV/atom. For the mass density, the calculation gives 6.82 Mg/m³.

---

What did we get for final energy? Answer: -14.26, -51.91, -43.97, -57.26, -14.19, -25.19, -10.09, -25.76 eV per cell, in the order shown.